[1]
# NaAcSeO4

A relaxed NaAcSeO4 crystal (PBE-GGA, the Alexandria database).

POSCAR file:
```
NaAcSeO4
1.0
-3.665 3.785 4.480
3.665 -3.785 4.480
3.665 3.785 -4.480
Na Ac Se O
2 2 2 8
direct
0.500 0.000 0.000
0.500 0.500 0.500
0.000 0.000 0.000
0.500 0.000 0.500
0.162 0.412 0.750
0.838 0.588 0.250
0.137 0.706 0.431
0.224 0.294 0.931
0.258 0.220 0.462
0.258 0.795 0.038
0.742 0.205 0.962
0.742 0.780 0.538
0.776 0.706 0.069
0.863 0.294 0.569
```

Results
- Raw formation energy: -1.7404 eV/atom
- SG: Imma, No. 74



[2]
# NpGe6Pd12

A relaxed NpGe6Pd12 crystal (PBE-GGA, the Alexandria database).

POSCAR file:
```
NpGe6Pd12
1.0
5.770 3.332 2.833
-5.770 3.332 2.833
0.000 -6.663 2.833
Np Ge Pd
1 6 12
direct
0.000 0.000 0.000
0.256 0.256 0.697
0.256 0.697 0.256
0.303 0.744 0.744
0.697 0.256 0.256
0.744 0.303 0.744
0.744 0.744 0.303
0.123 0.500 0.877
0.123 0.877 0.500
0.165 0.420 0.420
0.420 0.165 0.420
0.420 0.420 0.165
0.500 0.123 0.877
0.500 0.877 0.123
0.580 0.580 0.835
0.580 0.835 0.580
0.835 0.580 0.580
0.877 0.123 0.500
0.877 0.500 0.123
```

Results
- Energy relative to the elements: -36.78 kJ/mol of atoms
- SG: R-3m, No. 166



[3]
# Ac4ZnRh

A relaxed Ac4ZnRh crystal (PBE-GGA, the Alexandria database).

POSCAR file:
```
Ac4ZnRh
1.0
4.249 0.000 0.000
-0.001 7.035 0.000
-0.015 -3.024 7.801
Ac Zn Rh
4 1 1
direct
0.001 0.248 0.236
0.499 0.749 0.211
0.501 0.251 0.789
0.999 0.752 0.764
0.000 0.000 0.500
0.500 0.000 0.000
```

Results
- Energy relative to the elements: -24.41 kJ/mol of atoms
- SG: P-1, No. 2



[4]
# Ac2PmP3Pt12

A relaxed Ac2PmP3Pt12 crystal (PBE-GGA, the Alexandria database).

POSCAR file:
```
Ac2PmP3Pt12
1.0
4.182 2.414 6.313
-4.182 2.414 6.313
0.000 -4.828 6.313
Ac Pm P Pt
2 1 3 12
direct
0.103 0.103 0.103
0.897 0.897 0.897
0.500 0.500 0.500
0.000 0.500 0.500
0.500 0.000 0.500
0.500 0.500 0.000
0.094 0.637 0.637
0.166 0.166 0.601
0.166 0.601 0.166
0.363 0.363 0.906
0.363 0.906 0.363
0.399 0.834 0.834
0.601 0.166 0.166
0.637 0.094 0.637
0.637 0.637 0.094
0.834 0.399 0.834
0.834 0.834 0.399
0.906 0.363 0.363
```

Results
- Energy relative to the elements: -47.41 kJ/mol of atoms
- SG: R-3m, No. 166



[5]
# ScBe2Te

A relaxed ScBe2Te crystal (PBE-GGA, the Alexandria database).

POSCAR file:
```
ScBe2Te
1.0
3.459 0.000 0.000
0.000 3.459 0.000
0.000 0.000 5.730
Sc Be Te
1 2 1
direct
0.000 0.000 0.000
0.000 0.000 0.540
0.500 0.500 0.701
0.500 0.500 0.274
```

Results
- Raw formation energy: 0.1259 eV/atom
- SG: P4mm, No. 99



[6]
# SrLi2Ho2Tl2

A relaxed SrLi2Ho2Tl2 crystal (PBE-GGA, the Alexandria database).

POSCAR file:
```
SrLi2Ho2Tl2
1.0
2.473 1.428 9.446
-2.473 1.428 9.446
0.000 -2.855 9.446
Sr Li Ho Tl
1 2 2 2
direct
0.000 0.000 0.000
0.412 0.412 0.412
0.588 0.588 0.588
0.131 0.131 0.131
0.869 0.869 0.869
0.249 0.249 0.249
0.751 0.751 0.751
```

Results
- Energy relative to the elements: -17.73 kJ/mol of atoms
- SG: R-3m, No. 166



[7]
# Sc2VCr

A relaxed Sc2VCr crystal (PBE-GGA, the Alexandria database).

POSCAR file:
```
Sc2VCr
1.0
-3.656 3.656 2.920
3.656 -3.656 2.920
3.656 3.656 -2.920
Sc V Cr
4 2 2
direct
0.118 0.125 0.493
0.375 0.882 0.007
0.632 0.625 0.507
0.875 0.368 0.993
0.250 0.750 0.500
0.500 0.500 0.000
0.000 0.000 0.000
0.750 0.250 0.500
```

Results
- Energy relative to the elements: 72.92 kJ/mol of atoms
- SG: I-42d, No. 122



[8]
# CaTaPd3

A relaxed CaTaPd3 crystal (PBE-GGA, the Alexandria database).

POSCAR file:
```
CaTaPd3
1.0
4.910 0.000 0.000
0.000 4.910 0.000
0.000 0.000 4.910
Ca Ta Pd
1 1 3
direct
0.000 0.000 0.000
0.500 0.500 0.500
0.000 0.500 0.500
0.500 0.000 0.500
0.500 0.500 0.000
```

Results
- Energy relative to the elements: 19.39 kJ/mol of atoms
- SG: Pm-3m, No. 221



[9]
# Rb2Np2FeSe6

A relaxed Rb2Np2FeSe6 crystal (PBE-GGA, the Alexandria database).

POSCAR file:
```
Rb2Np2FeSe6
1.0
3.521 -6.051 0.000
3.521 6.051 0.000
-2.358 0.000 8.194
Rb Np Fe Se
2 2 1 6
direct
0.168 0.832 0.000
0.832 0.168 0.000
0.332 0.668 0.500
0.668 0.332 0.500
0.000 0.000 0.500
0.065 0.383 0.686
0.252 0.252 0.319
0.383 0.065 0.686
0.617 0.935 0.314
0.748 0.748 0.681
0.935 0.617 0.314
```

Results
- Raw formation energy: -0.9469 eV/atom
- SG: C2/m, No. 12



[10]
# SrTa2Te

A relaxed SrTa2Te crystal (PBE-GGA, the Alexandria database).

POSCAR file:
```
SrTa2Te
1.0
0.000 3.517 3.517
3.517 0.000 3.517
3.517 3.517 0.000
Sr Ta Te
1 2 1
direct
0.000 0.000 0.000
0.250 0.250 0.250
0.750 0.750 0.750
0.500 0.500 0.500
```

Results
- Raw formation energy: 1.1201 eV/atom
- SG: Fm-3m, No. 225



[11]
# Ag2H4Rh

A relaxed Ag2H4Rh crystal (PBE-GGA, the Alexandria database).

POSCAR file:
```
Ag2H4Rh
1.0
5.197 0.000 0.000
0.000 4.832 0.000
-2.362 0.000 5.197
Ag H Rh
4 8 2
direct
0.001 0.250 0.178
0.356 0.750 0.546
0.644 0.250 0.454
0.999 0.750 0.822
0.003 0.250 0.753
0.295 0.250 0.540
0.365 0.002 0.088
0.365 0.498 0.088
0.635 0.502 0.912
0.635 0.998 0.912
0.705 0.750 0.460
0.997 0.750 0.247
0.354 0.250 0.860
0.646 0.750 0.140
```

Results
- SG: P2_1/m, No. 11
- Calculated total energy: -3.663 eV per atom



[12]
# SrDyW2N6

A relaxed SrDyW2N6 crystal (PBE-GGA, the Alexandria database).

POSCAR file:
```
SrDyW2N6
1.0
5.714 -5.129 0.000
5.714 5.129 0.000
-2.612 0.000 6.013
Sr Dy W N
2 2 4 12
direct
0.093 0.907 0.750
0.907 0.093 0.250
0.280 0.720 0.250
0.720 0.280 0.750
0.212 0.377 0.806
0.377 0.212 0.306
0.623 0.788 0.694
0.788 0.623 0.194
0.002 0.242 0.681
0.148 0.615 0.859
0.242 0.002 0.181
0.321 0.370 0.108
0.370 0.321 0.608
0.385 0.852 0.641
0.615 0.148 0.359
0.630 0.679 0.392
0.679 0.630 0.892
0.758 0.998 0.819
0.852 0.385 0.141
0.998 0.758 0.319
```

Results
- Raw formation energy: -0.6909 eV/atom
- SG: C2/c, No. 15



no.,calculated density (g/cm³)
1,5.25
2,9.91
3,7.67
4,13.17
5,4.62
6,6.97
7,4.10
8,7.58
9,5.59
10,11.01
11,8.21
12,6.61